VASP calculation (GGA-PBE) on a relaxed structure of KSe2Br.

- Magnetization: 0.000 μB/atom
- Uncorrected energy: -2.8924 eV/atom
- Symmetry: No. 123
- Distance to the lowest polymorph of the same formula: 0.231 eV/atom
- Energy relative to the elements, uncorrected: -0.458 eV/atom

a = 4.070 Å, b = 4.073 Å, c = 8.462 Å
α = 90.00°, β = 90.00°, γ = 90.00°
Fractional positions:
Br (0.500, 0.000, 0.500)
K (0.000, 0.500, 0.500)
Se (0.000, 0.000, 0.000)
Se (0.500, 0.500, 0.000)

VASP calculation (GGA-PBE) on a relaxed structure of Sr2AlSnH.

- Magnetization: 0.000 μB/atom
- Uncorrected energy: -3.1970 eV/atom
- Symmetry: No. 123

a = 5.133 Å, b = 5.133 Å, c = 4.684 Å
α = 90.00°, β = 90.00°, γ = 90.00°
Fractional positions:
Sr (0.000, 0.500, 0.000)
Sr (0.500, 0.000, 0.000)
Sn (0.500, 0.500, 0.500)
H (0.000, 0.000, 0.000)
Al (0.000, 0.000, 0.500)

VASP calculation (GGA-PBE) on a relaxed structure of CaCe2Cd8.

- Energy relative to the elements: -0.204 eV per atom
- Magnetization: 0.141 μB/atom
- Uncorrected energy: -2.1305 eV/atom
- Symmetry: No. 12

a = 5.392 Å, b = 6.566 Å, c = 9.105 Å
α = 111.19°, β = 107.28°, γ = 89.84°
Each line ends with the local moment (μB).
Fractional positions:
Ca (0.500, 0.000, 0.000)  -0.01
Ce (0.689, 0.689, 0.378)  0.75
Ce (0.311, 0.311, 0.622)  0.75
Cd (0.132, 0.359, 0.260)  0.00
Cd (0.872, 0.098, 0.740)  0.00
Cd (0.750, 0.494, 0.000)  0.00
Cd (0.701, 0.201, 0.402)  0.00
Cd (0.299, 0.799, 0.598)  0.00
Cd (0.250, 0.506, 0.000)  0.00
Cd (0.128, 0.902, 0.260)  0.00
Cd (0.868, 0.641, 0.740)  0.00